[1]
BeAgO2: relaxed, PBE-GGA.

The value obtained for the volume is 10.47 A^3/atom. The formation energy without anion corrections is -1224.2 meV/atom.

It has space group I-42d (No. 122), with a = 4.7013 Å, b = 4.7013 Å, c = 7.5764 Å, α = 90.00°, β = 90.00° and γ = 90.00°. The distinct sites, in fractional coordinates, are Be at (0.0000, 0.0000, 0.0000), Ag at (0.0000, 0.0000, 0.5000) and O at (0.1426, 0.2500, 0.1250).

[2]
LaMoP2: relaxed, PBE-GGA.

For the energy of formation from the pure elements, the calculation gives -0.674 eV/atom. The value obtained for the volume is 19.72 A^3/atom. Its distance to the lowest polymorph of the same formula is 170 meV per atom.

It has space group Imm2 (No. 44), with a = 3.3305 Å, b = 3.5514 Å, c = 13.3372 Å, α = 90.00°, β = 90.00° and γ = 90.00°. The distinct sites, in fractional coordinates, are La at (0.0000, 0.0000, 0.0000), Mo at (0.0000, 0.5000, 0.7514), P at (0.0000, 0.0000, 0.3822) and P at (0.0000, 0.5000, 0.1808).

[3]
PuTh2OsN5: relaxed, PBE-GGA.

The value obtained for the volume is 14.87 A^3/atom. The formation energy without anion corrections is -879.5 meV/atom.

It has space group I4/mcm (No. 140), with a = 6.7212 Å, b = 6.7212 Å, c = 11.8515 Å, α = 90.00°, β = 90.00° and γ = 90.00°. The distinct sites, in fractional coordinates, are Pu at (0.0000, 0.0000, 0.2500), Th at (0.1782, 0.3218, 0.0000), Os at (0.0000, 0.5000, 0.2500), N at (0.0000, 0.0000, 0.0000) and N at (0.1468, 0.3532, 0.3609).

[4]
Ce2BiCl3: relaxed, PBE-GGA.

The value obtained for the volume is 32.05 A^3/atom. The formation energy without anion corrections is -1671.7 meV/atom.

It has space group C2/m (No. 12), with a = 16.3827 Å, b = 4.4395 Å, c = 11.3380 Å, α = 90.00°, β = 111.11° and γ = 90.00°. The distinct sites, in fractional coordinates, are Ce at (0.0223, 0.0000, 0.1927), Ce at (0.2296, 0.5000, 0.8289), Bi at (0.1174, 0.5000, 0.0247), Cl at (0.0391, 0.5000, 0.3461), Cl at (0.1271, 0.0000, 0.7131) and Cl at (0.2003, 0.0000, 0.3500).

[5]
Rb2Tl3Ga: relaxed, PBE-GGA.

For the energy of formation from the pure elements, the calculation gives -0.059 eV/atom. The value obtained for the volume is 38.97 A^3/atom.

It has space group C2/c (No. 15), with a = 15.2829 Å, b = 8.1524 Å, c = 7.7638 Å, α = 90.00°, β = 104.77° and γ = 90.00°. The distinct sites, in fractional coordinates, are Rb at (0.1594, 0.0000, 0.0793), Tl at (0.0000, 0.2600, 0.2500), Tl at (0.1191, 0.4998, 0.0598) and Ga at (0.0000, 0.3207, 0.7500).